# 1
The following is a DFT calculation (PBE) of a geometry-optimized Ce12PuHg6 structure.

Results
- Offset from the most stable computed form: 25.5 meV per atom
- E_form: -0.08 eV per atom
- Magnetization: 0.01 Bohr magnetons per cell
- Calculated density: 9.08 g/cm3

The structure in CIF format:
```
data_Ce12PuHg6
_chemical_formula_sum 'Ce36 Pu3 Hg18'
_cell_length_a 12.7989
_cell_length_b 12.7989
_cell_length_c 12.0985
_cell_angle_alpha 90.00
_cell_angle_beta 90.00
_cell_angle_gamma 120.00
_space_group_name_H-M_alt 'R -3'
_space_group_IT_number 148
_space_group_name_Hall '-R 3'
loop_
_atom_site_label
_atom_site_type_symbol
_atom_site_fract_x
_atom_site_fract_y
_atom_site_fract_z
Ce1 Ce 0.0102 0.1688 0.4293
Ce2 Ce 0.0676 0.1758 0.8787
Pu1 Pu 0.0000 0.0000 0.0000
Hg1 Hg 0.0279 0.2938 0.6565
```



# 2
The following is a DFT calculation (PBE) of a geometry-optimized Mg2SiSb structure.

Results
- Formation energy (no corrections): 0.14 eV per atom
- Offset from the most stable computed form: 147.4 meV per atom
- Magnetization: 0.00 Bohr magnetons per cell
- Calculated density: 3.61 g/cm3

The structure in CIF format:
```
data_Mg2SiSb
_chemical_formula_sum 'Mg8 Si4 Sb4'
_cell_length_a 7.767
_cell_length_b 7.767
_cell_length_c 6.044
_cell_angle_alpha 90.00
_cell_angle_beta 90.00
_cell_angle_gamma 90.00
_space_group_name_H-M_alt 'I -4 2 d'
_space_group_IT_number 122
_space_group_name_Hall 'I -4 2bw'
loop_
_atom_site_label
_atom_site_type_symbol
_atom_site_fract_x
_atom_site_fract_y
_atom_site_fract_z
Mg1 Mg 0.221 0.250 0.125
Si1 Si 0.000 0.000 0.000
Sb1 Sb 0.000 0.000 0.500
```



# 3
The following is a DFT calculation (PBE) of a geometry-optimized GaSiNi6 structure.

Results
- Formation energy (no corrections): -0.11 eV per atom
- Offset from the most stable computed form: 259.6 meV per atom
- Magnetization: 0.00 Bohr magnetons per cell
- Calculated density: 7.47 g/cm3

The structure in CIF format:
```
data_GaSiNi6
_chemical_formula_sum 'Ga2 Si2 Ni12'
_cell_length_a 6.774
_cell_length_b 4.846
_cell_length_c 6.396
_cell_angle_alpha 90.00
_cell_angle_beta 107.62
_cell_angle_gamma 90.00
_space_group_name_H-M_alt 'C 1 2/m 1'
_space_group_IT_number 12
loop_
_space_group_symop_operation_xyz
'x,y,z'
'-x,-y,-z'
'-x,y,-z'
'x,-y,z'
'x+1/2,y+1/2,z'
'-x+1/2,-y+1/2,-z'
'-x+1/2,y+1/2,-z'
'x+1/2,-y+1/2,z'
loop_
_atom_site_label
_atom_site_type_symbol
_atom_site_fract_x
_atom_site_fract_y
_atom_site_fract_z
Ga1 Ga 0.000 0.000 0.000
Si1 Si 0.000 0.500 0.500
Ni1 Ni 0.133 0.500 0.921
Ni2 Ni 0.205 0.263 0.306
```



# 4
The following is a DFT calculation (PBE) of a geometry-optimized Ac3GeAu4 structure.

Results
- E_form: -0.68 eV per atom
- Magnetization: 0.00 Bohr magnetons per cell
- Calculated density: 10.70 g/cm3

The structure in CIF format:
```
data_Ac3GeAu4
_chemical_formula_sum 'Ac6 Ge2 Au8'
_cell_length_a 4.548
_cell_length_b 7.479
_cell_length_c 14.072
_cell_angle_alpha 90.00
_cell_angle_beta 90.00
_cell_angle_gamma 90.00
_space_group_name_H-M_alt 'I m m m'
_space_group_IT_number 71
_space_group_name_Hall '-I 2 2'
loop_
_atom_site_label
_atom_site_type_symbol
_atom_site_fract_x
_atom_site_fract_y
_atom_site_fract_z
Ac1 Ac 0.000 0.000 0.000
Ac2 Ac 0.000 0.500 0.171
Ge1 Ge 0.000 0.000 0.500
Au1 Au 0.000 0.301 0.375
```